# Tb2NdSmP4 PBE optimized geometry
data_Tb2NdSmP4
_chemical_formula_sum 'Tb4 Nd2 Sm2 P8'
_cell_length_a 5.773
_cell_length_b 5.773
_cell_length_c 11.556
_cell_angle_alpha 90.00
_cell_angle_beta 90.00
_cell_angle_gamma 90.00
_symmetry_space_group_name_H-M 'I 4/m m m'
_symmetry_Int_Tables_number 139
_symmetry_space_group_name_Hall '-I 4 2'
loop_
_atom_site_label
_atom_site_type_symbol
_atom_site_fract_x
_atom_site_fract_y
_atom_site_fract_z
_atom_site_occupancy
Tb1 Tb 0.000 0.500 0.250 1
Nd1 Nd 0.000 0.000 0.000 1
Sm1 Sm 0.000 0.000 0.500 1
P1 P 0.000 0.000 0.251 1
P2 P 0.000 0.500 0.000 1
# ρ	6350	kg/m³
# formation energy	-12.604	eV/f.u.
# size of the total moment	0.00	μB per cell
# energy	-6.6239	eV per atom